No. 1
A plane-wave DFT calculation with PBE was carried out for crystalline SrAgS3 at its relaxed geometry.

Lattice parameters (Å, degrees): 5.612 5.612 5.612 90.00 90.00 90.00
Space group Pm-3m (No. 221)
Unique sites:
Sr1 0.000 0.000 0.000 x1
Ag1 0.500 0.500 0.500 x1
S1 0.000 0.000 0.500 x3

Properties
ΔE_f (raw) = 0.38 eV per atom
Mass density = 2740 kg/m³
Final energy = -3.0018 eV/atom
ΔE to the lowest computed polymorph = 809 meV/atom



No. 2
A plane-wave DFT calculation with PBE was carried out for crystalline MgAlSi2Rh at its relaxed geometry.

Lattice parameters (Å, degrees): 4.674 4.674 4.890 90.00 90.00 90.00
Space group P4/mmm (No. 123)
Unique sites:
Mg1 0.000 0.000 0.000 x1
Al1 0.000 0.000 0.500 x1
Si1 0.000 0.500 0.000 x2
Rh1 0.500 0.500 0.500 x1

Properties
ΔE_f (raw) = 1.35 eV per atom
Mass density = 3269 kg/m³
Final energy = -3.3613 eV/atom



No. 3
A plane-wave DFT calculation with PBE was carried out for crystalline NdMg11Al at its relaxed geometry.

Lattice parameters (Å, degrees): 5.874 14.449 7.713 90.00 111.90 90.00
Space group C2/m (No. 12)
Unique sites:
Nd1 0.000 0.000 0.000 x2
Mg1 0.000 0.000 0.500 x2
Mg2 0.105 0.395 0.215 x8
Mg3 0.180 0.174 0.355 x8
Mg4 0.250 0.250 0.000 x4
Al1 0.000 0.500 0.500 x2

Properties
ΔH_f (0 K) = -0.0612 eV per atom
Mass density = 2398 kg/m³
Final energy = -2.0651 eV/atom